Below is crystalline CuPd2RhO8 at its relaxed geometry, with properties calculated at the PBE-GGA level.

## Properties
Formation energy (no corrections): 15 kJ/mol of formula units
E: -5.112 eV per atom
Size of the total moment: 0.00 Bohr magnetons per cell

Cell: 5.6455 5.6455 5.6455 Å, 112.34 112.34 103.88°
Closest atoms and distances in Å follow each position.
Element x y z (fractional)
Cu1 0.2500 0.7500 0.5000  8 O 2.04-2.25
Pd1 0.7500 0.2500 0.5000  4 O 1.93
Pd2 0.5000 0.5000 0.0000  4 O 1.96
Rh1 0.0000 0.0000 0.0000  8 O 2.00-2.17
O1 0.3433 0.0268 0.3165  1 Pd 1.93, 1 Rh 2.00
O2 0.2674 0.4440 0.1766  1 Pd 1.96, 1 Cu 2.04, 1 Rh 2.17
O3 0.2674 0.0909 0.8234  1 Pd 1.96, 1 Cu 2.04, 1 Rh 2.17
O4 0.7104 0.0268 0.6835  1 Pd 1.93, 1 Rh 2.00
O5 0.9091 0.7326 0.1766  1 Pd 1.96, 1 Cu 2.04, 1 Rh 2.17
O6 0.9732 0.2896 0.3165  1 Pd 1.93, 1 Rh 2.00
O7 0.9732 0.6567 0.6835  1 Pd 1.93, 1 Rh 2.00
O8 0.5560 0.7326 0.8234  1 Pd 1.96, 1 Cu 2.04, 1 Rh 2.17


Below is crystalline ZrSiSb3 at its relaxed geometry, with properties calculated at the PBE-GGA level.

## Properties
Formation energy (no corrections): 306 kJ/mol of formula units
E above lowest polymorph: 0 meV/atom
E: -4.633 eV per atom
Size of the total moment: 0.00 Bohr magnetons per cell

Cell: 5.1359 5.1359 5.1359 Å, 90.00 90.00 90.00°
Closest atoms and distances in Å follow each position.
Element x y z (fractional)
Sb1 0.0000 0.5000 0.0000  2 Si 2.57
Sb2 0.0000 0.0000 0.5000  2 Si 2.57
Sb3 0.5000 0.0000 0.0000  2 Si 2.57
Si1 0.0000 0.0000 0.0000  6 Sb 2.57
Zr1 0.5000 0.5000 0.5000  12 Sb 3.63